# Ac2PrTcN4

An optimized crystal structure of Ac2PrTcN4 (PBE, the Alexandria database).

POSCAR file:
```
Ac2PrTcN4
1.0
1.812 -6.340 0.000
1.812 6.340 0.000
0.000 0.000 12.791
Ac Pr Tc N
4 2 2 8
direct
0.132 0.868 0.541
0.132 0.868 0.959
0.868 0.132 0.041
0.868 0.132 0.459
0.373 0.627 0.750
0.627 0.373 0.250
0.344 0.656 0.250
0.656 0.344 0.750
0.090 0.910 0.750
0.224 0.776 0.144
0.224 0.776 0.356
0.500 0.500 0.000
0.500 0.500 0.500
0.776 0.224 0.644
0.776 0.224 0.856
0.910 0.090 0.250
```

Results
- crystal system = orthorhombic
- formation energy (no corrections) (eV per atom) = -0.715
- density (g/cm³) = 8.46